A plane-wave DFT calculation with PBE-GGA was carried out for TcGeN3 after structural relaxation.

The structure belongs to space group Pm-3m (No. 221); the cell edges are 3.748, 3.748 and 3.748 Å and the angles 90.00°, 90.00° and 90.00°. The distinct sites, in fractional coordinates, are Tc at (0.000, 0.000, 0.000), Ge at (0.500, 0.500, 0.500) and N at (0.000, 0.500, 0.500).

As for the energy: -32.42 eV for the cell shown.

---

A plane-wave DFT calculation with PBE-GGA was carried out for HoEr2Pb after structural relaxation.

The structure belongs to space group Cmcm (No. 63); the cell edges are 4.219, 12.468 and 9.333 Å and the angles 90.00°, 90.00° and 90.00°. The distinct sites, in fractional coordinates, are Ho at (0.000, 0.055, 0.250), Er at (0.000, 0.369, 0.054) and Pb at (0.000, 0.248, 0.750).

The offset from the most stable computed form comes out at 20 kJ/mol of formula units. The value obtained for the formation energy is -0.894 eV per formula unit.

---

A plane-wave DFT calculation with PBE-GGA was carried out for UFeCoSn after structural relaxation.

The structure belongs to space group F-43m (No. 216); the cell edges are 6.478, 6.478 and 6.478 Å and the angles 90.00°, 90.00° and 90.00°. The distinct sites, in fractional coordinates, are U at (0.000, 0.000, 0.000), Fe at (0.250, 0.250, 0.750), Co at (0.250, 0.250, 0.250) and Sn at (0.000, 0.000, 0.500).

The value obtained for the formation energy is -0.200 eV per formula unit.

---

A plane-wave DFT calculation with PBE-GGA was carried out for Ta6NiOs5 after structural relaxation.

The structure belongs to space group C2/m (No. 12); the cell edges are 13.969, 6.130 and 4.592 Å and the angles 90.00°, 101.91° and 90.00°. The distinct sites, in fractional coordinates, are Ta at (0.000, 0.249, 0.000), Ta at (0.162, 0.251, 0.690), Ni at (0.000, 0.000, 0.500), Os at (0.000, 0.500, 0.500), Os at (0.169, 0.000, 0.197) and Os at (0.174, 0.500, 0.204).

The value obtained for the formation energy is -3.181 eV per formula unit.

---

A plane-wave DFT calculation with PBE-GGA was carried out for AgAsW2 after structural relaxation.

The structure belongs to space group Cmmm (No. 65); the cell edges are 3.162, 4.686 and 8.993 Å and the angles 90.00°, 90.00° and 90.00°. The distinct sites, in fractional coordinates, are Ag at (0.000, 0.000, 0.000), As at (0.000, 0.000, 0.500) and W at (0.000, 0.500, 0.271).

The value obtained for the formation energy is 2.825 eV per formula unit.

---

A plane-wave DFT calculation with PBE-GGA was carried out for In9HgBi2 after structural relaxation.

The structure belongs to space group P4/mmm (No. 123); the cell edges are 4.712, 4.712 and 15.294 Å and the angles 90.00°, 90.00° and 90.00°. The distinct sites, in fractional coordinates, are In at (0.000, 0.000, 0.000), In at (0.000, 0.000, 0.338), In at (0.000, 0.500, 0.163), In at (0.000, 0.500, 0.500), Hg at (0.500, 0.500, 0.000) and Bi at (0.500, 0.500, 0.328).

The value obtained for the formation energy is 0.189 eV per formula unit.

---

How do the records compare in Fermi-level density of states? In the order shown, they have 0.301; 1.128; 1.456; 0.745; 0.887; 0.299 states/eV per atom.